{
  "formula": "Sr2AsRuO",
  "functional": "PBE",
  "state": "optimized geometry",
  "lattice_angstrom": [[5.669, 0.000, 0.000], [0.000, 5.669, 0.000], [0.000, 0.000, 4.524]],
  "species": ["Sr", "Sr", "As", "Ru", "O"],
  "frac_coords": [[0.000, 0.500, 0.000], [0.500, 0.000, 0.000], [0.000, 0.000, 0.500], [0.000, 0.000, 0.000], [0.500, 0.500, 0.500]],
  "formation_energy_uncorrected_ev_per_atom": -0.2857,
  "sg": "P4/mmm, No. 123",
  "dft_energy_ev_per_atom": -4.74,
  "m_tot_mub_per_fu": 0.00
}